KY2Be | Alexandria via LeMat-Bulk | PBE | relaxed; crystal system = trigonal; space group = R3m, No. 160; calculated formation energy = 550 meV per atom
1.0
3.639 0.000 0.000
-1.819 3.151 0.000
0.000 0.000 33.528
K Y Be
3 6 3
direct
0.000 0.000 0.000
0.333 0.667 0.667
0.667 0.333 0.333
0.000 0.000 0.222
0.000 0.000 0.469
0.333 0.667 0.136
0.333 0.667 0.889
0.667 0.333 0.555
0.667 0.333 0.803
0.000 0.000 0.746
0.333 0.667 0.412
0.667 0.333 0.079